The following is a PBE calculation of a relaxed structure of Dy4InNi2, from the Alexandria database.

Calculated values
ΔE_f: -225 meV per atom
N(E_F): 16.50 states/eV per cell

Cell: 4.7726 4.7726 26.7340 Å, 90.00 90.00 120.00°
Last column: nearest neighbours and their distance in Å.
Space group R-3m (No. 166, hexagonal axes)
Inequivalent atoms, fractional coordinates:
Dy 0.0000 0.0000 0.1116  3 Ni 2.99, 3 In 3.12
Dy 0.0000 0.0000 0.2968  4 Ni 2.79-2.88
In 0.0000 0.0000 0.5000  2 Ni 2.64
Ni 0.0000 0.0000 0.4012  1 In 2.64, 4 Dy 2.79-2.88